Entry 1:
Density functional theory data (GGA-PBE) for Na4Ce3CuS8 after structural relaxation.

Formation energy (no corrections)   -23.1 eV/f.u.
Space group   C2/m (12)

abc: 7.9541 8.0845 8.0542
angles: 119.84 119.59 90.00
Last column: nearest neighbours and their distance in Å.
Fractional coordinates of all 16 atoms:
Cu: 0.0000 0.5000 0.0000  6 S 2.66-2.88
S: 0.7438 0.7353 0.4876  3 Ce 2.79-2.80, 3 Na 2.89-2.94
S: 0.2320 0.7175 0.9807  1 Cu 2.66, 2 Ce 2.76-2.77, 1 Na 2.93
S: 0.7499 0.2664 0.4999  2 Ce 2.74, 1 Cu 2.88, 3 Na 2.88-2.93
Na: 0.5000 0.0000 0.5000  6 S 2.89-2.99
Ce: 0.0000 0.5000 0.5000  6 S 2.74-2.79
S: 0.7486 0.7175 0.9807  1 Cu 2.66, 2 Ce 2.76-2.77, 1 Na 2.93
S: 0.2514 0.2825 0.0193  1 Cu 2.66, 2 Ce 2.76-2.77, 1 Na 2.93
Na: 0.5000 0.0000 0.0000  6 S 2.88-3.02
Ce: 0.5000 0.5000 0.0000  6 S 2.76-2.80
S: 0.2501 0.7336 0.5001  2 Ce 2.74, 1 Cu 2.88, 3 Na 2.88-2.93
Na: 0.0000 0.0000 0.5000  6 S 2.89-2.99
S: 0.2562 0.2647 0.5124  3 Ce 2.79-2.80, 3 Na 2.89-2.94
Na: 0.0000 0.0000 0.0000  6 S 2.93-2.94
Ce: 0.5000 0.5000 0.5000  6 S 2.74-2.79
S: 0.7680 0.2825 0.0193  1 Cu 2.66, 2 Ce 2.76-2.77, 1 Na 2.93

***

Entry 2:
Density functional theory data (GGA-PBE) for NaCeCuS3 after structural relaxation.

Formation energy (no corrections)   -7.7 eV/f.u.
Space group   P2_1/m (11)

abc: 3.9694 8.1839 8.6905
angles: 101.71 90.00 90.00
Last column: nearest neighbours and their distance in Å.
Fractional coordinates of all 12 atoms:
Na: 0.7500 0.8161 0.7734  7 S 3.01-3.17
S: 0.2500 0.7910 0.4857  3 Cu 2.37-2.38
S: 0.7500 0.8946 0.1430  1 Cu 2.32
Ce: 0.7500 0.3242 0.8266  6 S 2.69-2.83
Ce: 0.2500 0.6758 0.1734  6 S 2.69-2.83
Na: 0.2500 0.1839 0.2266  7 S 3.01-3.17
Cu: 0.2500 0.0831 0.5870  4 S 2.32-2.38
S: 0.7500 0.2090 0.5143  3 Cu 2.37-2.38
S: 0.7500 0.4353 0.1567  3 Ce 2.78-2.83, 2 Na 3.01
S: 0.2500 0.5647 0.8433  3 Ce 2.78-2.83, 2 Na 3.01
S: 0.2500 0.1054 0.8570  1 Cu 2.32
Cu: 0.7500 0.9169 0.4130  4 S 2.32-2.38

***

Entry 3:
Density functional theory data (GGA-PBE) for Na2CeCuS4 after structural relaxation.

Formation energy (no corrections)   -8.6 eV/f.u.
Space group   C2/c (15)

abc: 7.6148 7.6148 8.1849
angles: 118.54 118.54 88.60
Last column: nearest neighbours and their distance in Å.
Fractional coordinates of all 16 atoms:
S: 0.1926 0.1987 0.9551  1 Cu 2.39, 1 Ce 2.66
S: 0.3013 0.3074 0.5449  1 Cu 2.39, 1 Ce 2.66
S: 0.2542 0.7050 0.4613  1 Cu 2.41
Cu: 0.5000 0.5000 0.5000  4 S 2.39-2.41
S: 0.8074 0.8013 0.0449  1 Cu 2.39, 1 Ce 2.66
Cu: 0.0000 0.0000 0.0000  4 S 2.39-2.41
Na: 0.5000 0.0000 0.0000  4 S 2.73-2.76
Na: 0.0000 0.0000 0.5000  6 S 2.80-3.08
S: 0.7950 0.2458 0.0387  1 Cu 2.41
Na: 0.5000 0.0000 0.5000  4 S 2.73-2.76
S: 0.6987 0.6926 0.4551  1 Cu 2.39, 1 Ce 2.66
Ce: 0.0000 0.5000 0.5000  6 S 2.66-2.82
Ce: 0.0000 0.5000 0.0000  6 S 2.66-2.82
S: 0.7458 0.2950 0.5387  1 Cu 2.41
Na: 0.5000 0.5000 0.0000  6 S 2.80-3.08
S: 0.2050 0.7542 0.9613  1 Cu 2.41

***

Entry 4:
Density functional theory data (GGA-PBE) for NaCe2CuS5 after structural relaxation.

Formation energy (no corrections)   -12.6 eV/f.u.
Space group   I4/mcm (140)

abc: 7.7145 7.7145 8.5810
angles: 116.71 116.71 90.00
Last column: nearest neighbours and their distance in Å.
Fractional coordinates of all 18 atoms:
S: 0.0172 0.5172 0.7394  1 Cu 2.26
S: 0.5172 0.7222 0.7394  1 Cu 2.26
S: 0.7222 0.2222 0.7394  1 Cu 2.26
S: 0.2222 0.0172 0.7394  1 Cu 2.26
Ce: 0.6640 0.1640 0.0000  8 S 2.68-2.96
Ce: 0.8360 0.6640 0.0000  8 S 2.68-2.96
S: 0.9828 0.4828 0.2606  1 Cu 2.26
Cu: 0.7500 0.2500 0.5000  4 S 2.26
S: 0.4828 0.2778 0.2606  1 Cu 2.26
Ce: 0.3360 0.8360 0.0000  8 S 2.68-2.96
S: 0.5000 0.5000 0.0000  4 Ce 2.88
S: 0.2778 0.7778 0.2606  1 Cu 2.26
Na: 0.7500 0.7500 0.5000  10 S 3.31-3.35
Ce: 0.1640 0.3360 0.0000  8 S 2.68-2.96
S: 0.7778 0.9828 0.2606  1 Cu 2.26
S: 0.0000 0.0000 0.0000  4 Ce 2.88
Cu: 0.2500 0.7500 0.5000  4 S 2.26
Na: 0.2500 0.2500 0.5000  10 S 3.31-3.35

***

Entry 5:
Density functional theory data (GGA-PBE) for NaCe2CuS4 after structural relaxation.

Formation energy (no corrections)   -12.2 eV/f.u.
Space group   Cmcm (63)

abc: 4.0029 7.0287 13.8938
angles: 90.00 90.00 106.54
Last column: nearest neighbours and their distance in Å.
Fractional coordinates of all 16 atoms:
Ce: 0.3671 0.7343 0.5620  6 S 2.78-2.84
Na: 0.1109 0.2218 0.7500  6 S 3.07-3.16
Ce: 0.3671 0.7343 0.9380  6 S 2.78-2.84
Na: 0.8891 0.7782 0.2500  6 S 3.07-3.16
S: 0.0000 0.0000 0.5000  4 Ce 2.82
Ce: 0.6329 0.2657 0.0620  6 S 2.78-2.84
S: 0.5620 0.1239 0.2500  2 Cu 2.40
S: 0.0000 0.0000 0.0000  4 Ce 2.82
S: 0.2681 0.5362 0.1187  1 Cu 2.33
Cu: 0.1604 0.3207 0.2500  4 S 2.33-2.40
Ce: 0.6329 0.2657 0.4380  6 S 2.78-2.84
S: 0.7319 0.4638 0.6187  1 Cu 2.33
S: 0.4380 0.8761 0.7500  2 Cu 2.40
Cu: 0.8396 0.6793 0.7500  4 S 2.33-2.40
S: 0.7319 0.4638 0.8813  1 Cu 2.33
S: 0.2681 0.5362 0.3813  1 Cu 2.33

***

Entry 6:
Density functional theory data (GGA-PBE) for Na3Ce3CuS8 after structural relaxation.

Formation energy (no corrections)   -20.8 eV/f.u.
Space group   C2/m (12)

abc: 8.1295 7.9329 8.0388
angles: 119.07 90.00 120.82
Last column: nearest neighbours and their distance in Å.
Fractional coordinates of all 15 atoms:
Ce: 0.5000 0.5000 0.5000  6 S 2.69-2.79
S: 0.2531 0.5062 0.2646  3 Ce 2.77-2.79, 3 Na 2.85-2.92
Ce: 0.5000 0.0000 0.5000  6 S 2.72-2.77
Ce: 0.0000 0.5000 0.5000  6 S 2.69-2.79
Cu: 0.0000 0.0000 0.5000  2 S 2.35
Na: 0.0000 0.0000 0.0000  6 S 2.85-3.00
Na: 0.0000 0.5000 0.0000  6 S 2.92-3.00
S: 0.7905 0.5809 0.3076  1 Cu 2.35
S: 0.7280 0.9791 0.7265  2 Ce 2.69-2.72, 1 Cu 2.85, 2 Na 2.93-3.00
S: 0.2511 0.9791 0.7265  2 Ce 2.69-2.72, 1 Cu 2.85, 2 Na 2.93-3.00
Na: 0.5000 0.5000 0.0000  6 S 2.92-3.00
S: 0.2095 0.4191 0.6924  1 Cu 2.35
S: 0.7469 0.4938 0.7354  3 Ce 2.77-2.79, 3 Na 2.85-2.92
S: 0.2720 0.0209 0.2735  2 Ce 2.69-2.72, 1 Cu 2.85, 2 Na 2.93-3.00
S: 0.7489 0.0209 0.2735  2 Ce 2.69-2.72, 1 Cu 2.85, 2 Na 2.93-3.00